Record 1
Density functional theory data (PBE) for a geometry-optimized Tc2HPd structure.

```
Tc2HPd
1.0
-3.029 -3.639 -3.761
-0.756 -3.996 4.474
-4.154 -2.633 1.033
H Tc Pd
2 4 2
direct
0.500 0.500 0.000
0.250 0.750 0.500
0.522 0.125 0.250
0.228 0.625 0.250
0.375 0.478 0.750
0.875 0.772 0.750
0.000 0.000 0.000
0.750 0.250 0.500
```

Computed properties:
- E_tot: -6.994 eV per atom
- Magnetic moment: 0.00 Bohr magnetons per cell

***

Record 2
Density functional theory data (PBE) for a geometry-optimized KSnBi2 structure.

```
KSnBi2
1.0
4.953 0.000 0.000
0.000 5.062 0.000
0.000 0.000 5.062
K Bi Sn
1 2 1
direct
0.500 0.500 0.500
0.000 0.000 0.500
0.000 0.500 0.000
0.500 0.000 0.000
```

Computed properties:
- E_tot: -3.305 eV per atom
- Magnetic moment: 0.00 Bohr magnetons per cell